No. 1
Computed, not measured: a relaxed TaAlNi2 crystal at the PBE-GGA level of DFT.

abc: 5.9722 5.9722 5.9722
angles: 90.00 90.00 90.00
Closest atoms and distances in Å follow each position.
Space group F-43m (No. 216)
One atom of each set of equivalent atoms:
Ta  0.0000  0.0000  0.0000 (multiplicity 4)  4 Ni 2.59, 4 Al 2.59
Al  0.2500  0.2500  0.7500 (multiplicity 4)  4 Ta 2.59, 4 Ni 2.59
Ni  0.0000  0.0000  0.5000 (multiplicity 4)  4 Al 2.59, 4 Ni 2.59
Ni  0.2500  0.2500  0.2500 (multiplicity 4)  4 Ta 2.59, 4 Ni 2.59

Output
Final energy   -27.56 eV per formula unit
Crystal system   cubic
V   213.01 Å³ per cell

No. 2
Computed, not measured: a relaxed GaSiPd crystal at the PBE-GGA level of DFT.

abc: 5.8743 5.8743 5.8743
angles: 90.00 90.00 90.00
Closest atoms and distances in Å follow each position.
Space group F-43m (No. 216)
One atom of each set of equivalent atoms:
Ga  0.0000  0.0000  0.0000 (multiplicity 4)  4 Si 2.54
Si  0.2500  0.2500  0.2500 (multiplicity 4)  4 Pd 2.54, 4 Ga 2.54
Pd  0.0000  0.0000  0.5000 (multiplicity 4)  4 Si 2.54

Output
Final energy   -14.23 eV per formula unit
Energy relative to the lowest polymorph listed for this composition   134 meV/atom
Crystal system   cubic
V   202.71 Å³ per cell

No. 3
Computed, not measured: a relaxed LiYPdPb crystal at the PBE-GGA level of DFT.

abc: 6.8404 6.8404 6.8404
angles: 90.00 90.00 90.00
Closest atoms and distances in Å follow each position.
Space group F-43m (No. 216)
One atom of each set of equivalent atoms:
Li  0.0000  0.0000  0.0000 (multiplicity 4)  4 Y 2.96, 4 Pb 2.96
Y  0.2500  0.2500  0.7500 (multiplicity 4)  4 Li 2.96, 4 Pd 2.96
Pd  0.0000  0.0000  0.5000 (multiplicity 4)  4 Pb 2.96, 4 Y 2.96
Pb  0.2500  0.2500  0.2500 (multiplicity 4)  4 Li 2.96, 4 Pd 2.96

Output
Final energy   -19.86 eV per formula unit
Energy relative to the lowest polymorph listed for this composition   0 meV/atom
Crystal system   cubic
V   320.07 Å³ per cell